## DyNi2Ge (PBE)

Data for a relaxed DyNi2Ge crystal.

As for the uncorrected energy: -43.6 eV/cell.

Cell: 4.0576 4.8011 6.8349 Å, 90.00 90.00 90.00°
Space group Pmc2_1 (No. 26)
Inequivalent atoms, fractional coordinates:
Dy  0.0000  0.1224  0.0000 (multiplicity 2)
Ni  0.0000  0.3981  0.3532 (multiplicity 2)
Ni  0.5000  0.1460  0.2798 (multiplicity 2)
Ge  0.5000  0.3527  0.6325 (multiplicity 2)